[1]
The following is a PBE calculation of crystalline PaCrSi2Ru at its relaxed geometry, from the Alexandria database.

a b c (Å): 4.072 4.072 5.755
angles (deg): 110.72 110.72 90.00
Last column: magnetic moment on the atom in μB.
Element x y z (fractional)
Si 0.620 0.620 0.240  -0.04
Si 0.380 0.380 0.760  -0.04
Pa 0.000 0.000 0.000  0.33
Ru 0.750 0.250 0.500  0.07
Cr 0.250 0.750 0.500  2.32

Output
Total DFT energy (no corrections): -8.47 eV/atom
Space-group type: No. 119
Crystal system: tetragonal
ΔE_f (raw): -0.623 eV/atom



[2]
The following is a PBE calculation of crystalline HfMgAu6 at its relaxed geometry, from the Alexandria database.

a b c (Å): 4.220 5.076 7.783
angles (deg): 77.84 74.27 65.44
Element x y z (fractional)
Au 0.249 0.376 0.126
Au 0.749 0.125 0.376
Au 0.251 0.875 0.624
Au 0.502 0.746 0.250
Au 0.498 0.254 0.750
Au 0.751 0.624 0.874
Mg 0.000 0.000 0.000
Hf 0.000 0.500 0.500

Output
Total DFT energy (no corrections): -4.33 eV/atom
Space-group type: No. 12
Crystal system: monoclinic